## MnGe2Ir (PBE-GGA)

Data for crystalline MnGe2Ir at its relaxed geometry.

Output
The calculation puts the density of states at the Fermi level at 4.9 states/eV/cell. The total energy comes out at -6.979 eV per atom. As for the formation enthalpy at 0 K: -163 meV/atom.

abc: 3.025 3.751 10.439
angles: 90.00 90.00 90.00
Space group Pmmn (No. 59, origin choice 2)
Inequivalent atoms, fractional coordinates:
Mn  0.250  0.250  0.082 [2 per cell]
Ge  0.250  0.250  0.846 [2 per cell]
Ge  0.250  0.750  0.418 [2 per cell]
Ir  0.250  0.750  0.677 [2 per cell]